# 1
Computed, not measured: a geometry-optimized Sc3SbBr structure at the PBE level of DFT.

Values from the calculation:
space-group type = Pm-3m (221)
formation energy from raw total energies = -0.191 eV/atom
E = -5.149 eV per atom

Lattice parameters (Å, degrees): 4.9664 4.9664 4.9664 90.00 90.00 90.00
Positions (direct):
Sc 0.0000 0.0000 0.5000
Sc 0.0000 0.5000 0.0000
Sc 0.5000 0.0000 0.0000
Sb 0.5000 0.5000 0.5000
Br 0.0000 0.0000 0.0000

# 2
Computed, not measured: a geometry-optimized ScSb3Br structure at the PBE level of DFT.

Values from the calculation:
space-group type = Pm-3m (221)
formation energy from raw total energies = 0.670 eV/atom
E = -3.404 eV per atom

Lattice parameters (Å, degrees): 5.4115 5.4115 5.4115 90.00 90.00 90.00
Positions (direct):
Sc 0.0000 0.0000 0.0000
Sb 0.0000 0.5000 0.5000
Sb 0.5000 0.0000 0.5000
Sb 0.5000 0.5000 0.0000
Br 0.5000 0.5000 0.5000

# 3
Computed, not measured: a geometry-optimized ScSbBr2 structure at the PBE level of DFT.

Values from the calculation:
space-group type = I-4m2 (119)
formation energy from raw total energies = -0.343 eV/atom
E = -3.792 eV per atom

Lattice parameters (Å, degrees): 6.0863 6.0863 6.0863 137.72 137.72 61.34
Positions (direct):
Sc 0.0000 0.0000 0.0000
Sb 0.7500 0.2500 0.5000
Br 0.2500 0.7500 0.5000
Br 0.5000 0.5000 0.0000

# 4
Computed, not measured: a geometry-optimized ScSbBr2 structure at the PBE level of DFT.

Values from the calculation:
space-group type = P4/mmm (123)
formation energy from raw total energies = -0.794 eV/atom
E = -4.244 eV per atom

Lattice parameters (Å, degrees): 3.2821 3.2821 11.4585 90.00 90.00 90.00
Positions (direct):
Sc 0.0000 0.0000 0.0000
Sb 0.0000 0.0000 0.5000
Br 0.5000 0.5000 0.1446
Br 0.5000 0.5000 0.8554

# 5
Computed, not measured: a geometry-optimized ScSbBr2 structure at the PBE level of DFT.

Values from the calculation:
space-group type = P4/mmm (123)
formation energy from raw total energies = -0.313 eV/atom
E = -3.763 eV per atom

Lattice parameters (Å, degrees): 4.6281 4.6281 4.7871 90.00 90.00 90.00
Positions (direct):
Sc 0.0000 0.0000 0.0000
Sb 0.5000 0.5000 0.0000
Br 0.0000 0.5000 0.5000
Br 0.5000 0.0000 0.5000

# 6
Computed, not measured: a geometry-optimized ScSbBr structure at the PBE level of DFT.

Values from the calculation:
space-group type = F-43m (216)
formation energy from raw total energies = -0.034 eV/atom
E = -4.076 eV per atom

Lattice parameters (Å, degrees): 5.1054 5.1054 5.1054 60.00 60.00 60.00
Positions (direct):
Sc 0.0000 0.0000 0.0000
Sb 0.7500 0.7500 0.7500
Br 0.5000 0.5000 0.5000